1.
## Li4Tl2Pb (PBE-GGA)

Data for a geometry-optimized Li4Tl2Pb structure.

The formation energy is -0.140 eV/atom. The value obtained for the excess energy over the best structure of this formula in the dataset is 1 meV/atom. The calculation puts the total energy at -2.44 eV/atom. The magnetization comes out at 0.00 μB/cell.

Unit cell a=7.1389 b=3.4129 c=7.2816 alpha=90.00 beta=116.15 gamma=90.00
Positions (direct):
Li (0.0544, 0.0000, 0.2341)
Li (0.2444, 0.5000, 0.6294)
Li (0.7556, 0.5000, 0.3706)
Li (0.9456, 0.0000, 0.7659)
Tl (0.2996, 0.5000, 0.0494)
Tl (0.7004, 0.5000, 0.9506)
Pb (0.5000, 0.0000, 0.5000)

---

2.
## Nd2RhS (PBE-GGA)

Data for a geometry-optimized Nd2RhS structure.

The value obtained for the excess energy over the best structure of this formula in the dataset is 0 meV/atom. The calculation puts the total energy at -6.59 eV/atom. The magnetization comes out at 0.00 μB/cell.

Unit cell a=3.9927 b=23.1666 c=4.1285 alpha=90.00 beta=90.00 gamma=90.00
Positions (direct):
Nd (0.0000, 0.0662, 0.2500)
Nd (0.0000, 0.3164, 0.2500)
Nd (0.0000, 0.6836, 0.7500)
Nd (0.0000, 0.9338, 0.7500)
Nd (0.5000, 0.1836, 0.7500)
Nd (0.5000, 0.4338, 0.7500)
Nd (0.5000, 0.5662, 0.2500)
Nd (0.5000, 0.8164, 0.2500)
Rh (0.0000, 0.4570, 0.2500)
Rh (0.0000, 0.5430, 0.7500)
Rh (0.5000, 0.0430, 0.7500)
Rh (0.5000, 0.9570, 0.2500)
S (0.0000, 0.1910, 0.2500)
S (0.0000, 0.8090, 0.7500)
S (0.5000, 0.3090, 0.7500)
S (0.5000, 0.6910, 0.2500)

---

3.
## CeScIr (PBE-GGA)

Data for a geometry-optimized CeScIr structure.

The formation energy is -0.580 eV/atom. The value obtained for the excess energy over the best structure of this formula in the dataset is 66 meV/atom. The calculation puts the total energy at -7.62 eV/atom. The magnetization comes out at 1.92 μB/cell.

Unit cell a=5.4152 b=4.8171 c=5.7536 alpha=90.00 beta=105.58 gamma=90.00
Positions (direct):
Ce (0.0878, 0.2500, 0.2887)
Ce (0.9122, 0.7500, 0.7113)
Sc (0.4865, 0.2500, 0.8359)
Sc (0.5135, 0.7500, 0.1641)
Ir (0.3691, 0.7500, 0.6102)
Ir (0.6309, 0.2500, 0.3898)

---

4.
## CdSeCl (PBE-GGA)

Data for a geometry-optimized CdSeCl structure.

The value obtained for the excess energy over the best structure of this formula in the dataset is 0 meV/atom. The calculation puts the total energy at -2.78 eV/atom. The magnetization comes out at 0.00 μB/cell.

Unit cell a=4.2946 b=5.7318 c=7.3391 alpha=78.75 beta=89.94 gamma=89.58
Positions (direct):
Cd (0.0022, 0.3359, 0.2966)
Cd (0.9978, 0.6641, 0.7034)
Se (0.4971, 0.7019, 0.9131)
Se (0.5029, 0.2981, 0.0869)
Cl (0.0030, 0.2136, 0.6492)
Cl (0.9970, 0.7864, 0.3508)

---

5.
## TaPb2Se (PBE-GGA)

Data for a geometry-optimized TaPb2Se structure.

The calculation puts the total energy at -5.73 eV/atom. The magnetization comes out at 0.00 μB/cell.

Unit cell a=3.3138 b=3.3138 c=8.9640 alpha=90.00 beta=90.00 gamma=90.00
Positions (direct):
Ta (0.0000, 0.0000, 0.0000)
Pb (0.0000, 0.0000, 0.5765)
Pb (0.5000, 0.5000, 0.2503)
Se (0.5000, 0.5000, 0.8610)

---

6.
## Ag2WAu (PBE-GGA)

Data for a geometry-optimized Ag2WAu structure.

The formation energy is 1.096 eV/atom. The value obtained for the excess energy over the best structure of this formula in the dataset is 769 meV/atom. The calculation puts the total energy at -4.39 eV/atom. The magnetization comes out at 0.00 μB/cell.

Unit cell a=7.4981 b=7.4981 c=5.4256 alpha=90.00 beta=90.00 gamma=90.00
Positions (direct):
Ag (0.2454, 0.2500, 0.1250)
Ag (0.2500, 0.7454, 0.3750)
Ag (0.2500, 0.7546, 0.8750)
Ag (0.2546, 0.2500, 0.6250)
Ag (0.7454, 0.7500, 0.6250)
Ag (0.7500, 0.2454, 0.8750)
Ag (0.7500, 0.2546, 0.3750)
Ag (0.7546, 0.7500, 0.1250)
W (0.0000, 0.0000, 0.0000)
W (0.0000, 0.5000, 0.2500)
W (0.5000, 0.0000, 0.7500)
W (0.5000, 0.5000, 0.5000)
Au (0.0000, 0.0000, 0.5000)
Au (0.0000, 0.5000, 0.7500)
Au (0.5000, 0.0000, 0.2500)
Au (0.5000, 0.5000, 0.0000)